Computed, not measured: a relaxed Li2ScPt crystal at the PBE-GGA level of DFT.

Computed properties:
E above lowest polymorph ... 179 meV per atom
V ... 243 Å³/cell
Energy of formation ... -400 meV per atom
Total magnetic moment ... 0.00 μB per formula unit

Structure (CIF):
```
data_Li2ScPt
_chemical_formula_sum 'Li8 Sc4 Pt4'
_symmetry_space_group_name_H-M 'F m -3 m'
_symmetry_Int_Tables_number 225
_symmetry_space_group_name_Hall '-F 4 2 3'
_cell_length_a 6.237
_cell_length_b 6.237
_cell_length_c 6.237
_cell_angle_alpha 90.00
_cell_angle_beta 90.00
_cell_angle_gamma 90.00
loop_
_atom_site_label
_atom_site_type_symbol
_atom_site_fract_x
_atom_site_fract_y
_atom_site_fract_z
Li1 Li 0.250 0.250 0.250
Sc1 Sc 0.000 0.000 0.000
Pt1 Pt 0.000 0.000 0.500
```